VASP calculation (PBE) on a geometry-optimized Mg2ZrTl3Se6 structure.

extended XYZ file:
```
12
Lattice="-4.3518 -5.4199 0.7745 5.0671 1.1293 4.6864 -4.8476 5.7073 2.1168" Properties=species:S:1:pos:R:3 pbc="T T T"
Mg 1.9190 -1.0596 3.3789
Mg -1.2037 -3.2309 2.0820
Zr 0.0000 0.0000 0.0000
Tl 1.0671 2.8870 5.0902
Tl -5.1994 -1.4703 2.4875
Tl -2.0662 0.7083 3.7888
Se -4.8737 0.2019 5.2576
Se -0.4489 -2.0270 4.4742
Se 0.7414 1.2148 2.3201
Se -1.7944 2.3431 6.5366
Se -3.6834 3.4436 3.1035
Se -2.3379 -0.9264 1.0411
```

* uncorrected formation energy: -0.8764 eV/atom
* space-group type: C2/m

---

VASP calculation (PBE) on a geometry-optimized Pm2Dy3Tm6 structure.

extended XYZ file:
```
11
Lattice="4.6976 0.0000 0.0000 0.0000 4.6976 0.0000 -2.3488 -2.3488 16.4475" Properties=species:S:1:pos:R:3 pbc="T T T"
Pm 0.0000 0.0000 14.9267
Pm 2.3488 2.3488 1.5208
Dy 0.0000 0.0000 0.0000
Dy 2.3488 2.3488 9.7995
Dy 0.0000 0.0000 6.6481
Tm 0.0000 2.3488 4.0163
Tm 2.3488 0.0000 4.0163
Tm 2.3488 0.0000 12.4312
Tm 0.0000 2.3488 12.4312
Tm 2.3488 2.3488 6.3953
Tm 0.0000 0.0000 10.0522
```

* offset from the most stable computed form: 0.92 eV per formula unit
* space-group type: I4/mmm
* energy of formation: 0.274 eV per atom

---

VASP calculation (PBE) on a geometry-optimized AcMgP2S8 structure.

extended XYZ file:
```
12
Lattice="-5.5469 -1.6085 1.0079 4.2620 -4.0258 -0.0204 1.2350 1.2628 8.8117" Properties=species:S:1:pos:R:3 pbc="T T T"
Ac 0.0000 0.0000 0.0000
Mg 0.6175 0.6314 4.4058
P -1.9816 -2.1119 2.7749
P 1.9316 -2.2596 7.0243
S 2.2122 -1.9727 9.0266
S -0.0516 -1.4300 2.9757
S -3.3863 -0.7203 3.3413
S -2.2622 -2.3989 0.7726
S 3.3363 -3.6512 6.4579
S 0.0015 -2.9415 6.8235
S 2.2270 -0.4212 6.1505
S -2.2770 -3.9503 3.6487
```

* uncorrected formation energy: -0.7462 eV/atom
* space-group type: P-3

---

VASP calculation (PBE) on a geometry-optimized MnTlCd2 structure.

extended XYZ file:
```
8
Lattice="-2.9072 -0.1170 -3.0613 2.0349 -3.2285 -1.8091 -6.1474 -8.4569 3.2480" Properties=species:S:1:pos:R:3 pbc="T T T"
Tl 0.0000 0.0000 0.0000
Tl -4.7454 -5.1233 -1.1242
Mn -0.4362 -1.6728 -2.4352
Mn -2.2744 -6.6791 -0.4982
Cd -3.0563 -2.5892 -1.2819
Cd -0.6717 -4.1484 -0.7469
Cd -4.9074 -7.6453 0.5827
Cd -5.4042 -9.2220 -1.7987
```

* offset from the most stable computed form: 0.67 eV per formula unit
* space-group type: I-42d
* energy of formation: 0.380 eV per atom

---

VASP calculation (PBE) on a geometry-optimized LiAgW structure.

extended XYZ file:
```
3
Lattice="4.2509 0.0000 0.0000 2.1255 3.6814 0.0000 2.1255 1.2271 3.4709" Properties=species:S:1:pos:R:3 pbc="T T T"
Ag 6.3764 3.6814 2.6032
Li 0.0000 0.0000 0.0000
W 4.2509 2.4543 1.7354
```

* offset from the most stable computed form: 2.78 eV per formula unit
* space-group type: F-43m
* energy of formation: 1.326 eV per atom

---

VASP calculation (PBE) on a geometry-optimized MoAsOs2 structure.

extended XYZ file:
```
4
Lattice="5.1977 0.0014 -0.0012 2.4220 4.5989 0.0012 -3.2733 -3.1888 2.4765" Properties=species:S:1:pos:R:3 pbc="T T T"
Mo 1.6670 1.9685 1.2389
Os 7.6038 4.5908 0.0000
Os 2.6591 -0.5692 1.2376
As 3.8459 2.3219 0.0000
```

* space-group type: Imm2
* energy of formation: 0.242 eV per atom